# Rb3ZrV2O8

A relaxed structure of Rb3ZrV2O8 (PBE with a Hubbard U, Alexandria via LeMat-Bulk).

Computed properties:
raw total energy = -6.94 eV per atom

```
data_Rb3ZrV2O8
_chemical_formula_sum 'Rb3 Zr1 V2 O8'
_symmetry_space_group_name_H-M 'P 1'
_symmetry_Int_Tables_number 1
_cell_length_a 5.966
_cell_length_b 5.966
_cell_length_c 7.990
_cell_angle_alpha 90.00
_cell_angle_beta 90.00
_cell_angle_gamma 120.00
loop_
_symmetry_equiv_pos_as_xyz
'x,y,z'
loop_
_atom_site_label
_atom_site_type_symbol
_atom_site_fract_x
_atom_site_fract_y
_atom_site_fract_z
Rb1 Rb 0.333 0.667 0.710
Rb2 Rb 0.667 0.333 0.290
Rb3 Rb 0.000 0.000 0.000
Zr1 Zr 0.000 0.000 0.500
V1 V 0.333 0.667 0.268
V2 V 0.667 0.333 0.732
O1 O 0.333 0.667 0.057
O2 O 0.667 0.333 0.943
O3 O 0.169 0.831 0.347
O4 O 0.831 0.169 0.653
O5 O 0.169 0.339 0.347
O6 O 0.831 0.661 0.653
O7 O 0.661 0.831 0.347
O8 O 0.339 0.169 0.653
```